Ag2Mo3O10, optimized geometry, DFT PBE+U; volume = 16.34 A^3/atom; M_tot = 0.00 μB/f.u.; calculated total energy = -6.283 eV/atom
1.0
9.126 -2.978 0.000
9.126 2.978 0.000
-3.698 0.000 9.021
Ag Mo O
4 6 20
Cartesian
-0.718 0.000 3.380
2.470 0.000 4.890
12.083 0.000 4.131
15.271 0.000 5.641
9.126 1.467 0.000
2.084 0.000 8.900
5.723 0.000 3.891
8.830 0.000 5.130
12.470 0.000 0.121
9.126 -1.467 0.000
4.563 1.489 0.000
0.072 0.000 1.282
4.653 1.358 4.445
7.235 1.322 0.149
2.223 0.000 7.174
7.277 1.180 4.511
5.724 0.000 2.098
7.318 1.322 8.872
9.900 1.358 4.576
5.328 0.000 7.730
4.563 -1.489 0.000
9.225 0.000 1.291
4.653 -1.358 4.445
7.235 -1.322 0.149
8.830 0.000 6.923
7.277 -1.180 4.511
12.330 0.000 1.847
7.318 -1.322 8.872
9.900 -1.358 4.576
14.482 0.000 7.739